# 1
# ScAuCl

A geometry-optimized ScAuCl structure (PBE, the Alexandria database).

Calculated values
SG	F-43m, No. 216
raw formation energy	-0.330	eV/atom
polymorph energy (0 for the lowest one)	709	meV/atom
D(E_F)	1.140	states/eV/atom

Lattice parameters (Å, degrees): 4.5420 4.5420 4.5420 60.00 60.00 60.00
Sites, in units of the cell vectors:
Au 0.5000 0.5000 0.5000
Sc 0.0000 0.0000 0.0000
Cl 0.7500 0.7500 0.7500

---

# 2
# Ti2AlRh

A geometry-optimized Ti2AlRh structure (PBE, the Alexandria database).

Calculated values
SG	P4/mmm, No. 123
D(E_F)	1.168	states/eV/atom
calculated total energy	-28.98	eV for the cell shown

Lattice parameters (Å, degrees): 3.2683 3.2683 5.8289 90.00 90.00 90.00
Sites, in units of the cell vectors:
Al 0.5000 0.5000 0.5000
Rh 0.5000 0.5000 0.0000
Ti 0.0000 0.0000 0.2417
Ti 0.0000 0.0000 0.7583

---

# 3
# SrLi2MnRh

A geometry-optimized SrLi2MnRh structure (PBE, the Alexandria database).

Calculated values
SG	P4/mmm, No. 123
D(E_F)	0.510	states/eV/atom
calculated total energy	-19.33	eV for the cell shown

Lattice parameters (Å, degrees): 4.8583 5.4821 4.8583 90.00 90.00 90.00
Sites, in units of the cell vectors:
Sr 0.0000 0.5000 0.0000
Li 0.0000 0.0000 0.5000
Mn 0.5000 0.5000 0.5000
Li 0.5000 0.0000 0.0000
Rh 0.0000 0.0000 0.0000

---

# 4
# Ba6TlPtAu2

A geometry-optimized Ba6TlPtAu2 structure (PBE, the Alexandria database).

Calculated values
SG	P1, No. 1
D(E_F)	0.677	states/eV/atom
calculated total energy	-31.76	eV for the cell shown

Lattice parameters (Å, degrees): 8.3793 8.3765 9.0046 62.22 62.19 59.91
Sites, in units of the cell vectors:
Ba 0.3814 0.7317 0.7572
Ba 0.5753 0.2522 0.2386
Ba 0.1293 0.3817 0.7578
Ba 0.9334 0.5760 0.2389
Au 0.5115 0.5107 0.4664
Ba 0.7322 0.1290 0.7576
Tl 0.8199 0.8203 0.5395
Ba 0.2521 0.9334 0.2385
Pt 0.3290 0.3289 0.0130
Au 0.9975 0.9976 0.0078

---

# 5
# BaLa2Ag

A geometry-optimized BaLa2Ag structure (PBE, the Alexandria database).

Calculated values
SG	P4/mmm, No. 123
polymorph energy (0 for the lowest one)	204	meV/atom
D(E_F)	1.369	states/eV/atom

Lattice parameters (Å, degrees): 5.7328 4.9612 4.9612 90.00 90.00 90.00
Sites, in units of the cell vectors:
Ag 0.5000 0.5000 0.0000
La 0.0000 0.5000 0.5000
Ba 0.5000 0.0000 0.5000
La 0.0000 0.0000 0.0000

---

# 6
# ZrCd2Si

A geometry-optimized ZrCd2Si structure (PBE, the Alexandria database).

Calculated values
SG	P2/m, No. 10
raw formation energy	-0.008	eV/atom
D(E_F)	0.612	states/eV/atom

Lattice parameters (Å, degrees): 5.4575 2.9713 5.0207 87.85 90.00 90.00
Sites, in units of the cell vectors:
Cd 0.0000 0.0434 0.0011
Zr 0.5000 0.7500 0.7500
Si 0.5000 0.2500 0.2500
Cd 0.0000 0.4566 0.4989

---

# 7
# Th2CdBi

A geometry-optimized Th2CdBi structure (PBE, the Alexandria database).

Calculated values
SG	R-3m, No. 166
polymorph energy (0 for the lowest one)	357	meV/atom
D(E_F)	1.123	states/eV/atom

Lattice parameters (Å, degrees): 3.4749 3.4749 12.1859 81.80 81.80 60.00
Sites, in units of the cell vectors:
Cd 0.5000 0.5000 0.5000
Th 0.0906 0.0906 0.7281
Th 0.9094 0.9094 0.2719
Bi 0.0000 0.0000 0.0000

---

# 8
# HoNpPaO6

A geometry-optimized HoNpPaO6 structure (PBE, the Alexandria database).

Calculated values
SG	P-31c, No. 163
raw formation energy	-3.299	eV/atom
D(E_F)	1.196	states/eV/atom

Lattice parameters (Å, degrees): 5.7417 5.7417 9.5004 90.00 90.00 120.00
Sites, in units of the cell vectors:
O 0.3273 0.0065 0.1285
O 0.6727 0.6792 0.6285
O 0.9935 0.3208 0.1285
Ho 0.3333 0.6667 0.2500
O 0.6792 0.6727 0.1285
O 0.0065 0.3273 0.6285
O 0.6792 0.0065 0.3715
Pa 0.0000 0.0000 0.5000
O 0.6727 0.9935 0.8715
O 0.3273 0.3208 0.3715
O 0.0065 0.6792 0.8715
O 0.3208 0.9935 0.6285
O 0.9935 0.6727 0.3715
Pa 0.0000 0.0000 0.0000
Np 0.3333 0.6667 0.7500
Np 0.6667 0.3333 0.2500
Ho 0.6667 0.3333 0.7500
O 0.3208 0.3273 0.8715